## Si2WSe (PBE)

Data for crystalline Si2WSe at its relaxed geometry.

Cell lengths 3.112, 3.112, 7.342 Å; angles 90.00, 90.00, 90.00 degrees
Positions (direct):
1 Si 0.000 0.000 0.000
2 Si 0.500 0.500 0.175
3 W 0.000 0.000 0.373
4 Se 0.500 0.500 0.584

Output
V = 71.1 Å³ per cell
size of the total moment = 0.00 μB per formula unit
formation energy from raw total energies = 162.8 meV per atom
DFT total energy = -6.66 eV/atom
density of states at the Fermi level = 1.78 states/eV/cell



## AlW3I (PBE)

Data for crystalline AlW3I at its relaxed geometry.

Cell lengths 4.848, 4.848, 4.848 Å; angles 90.00, 90.00, 90.00 degrees
Positions (direct):
1 Al 0.000 0.000 0.000
2 W 0.000 0.500 0.500
3 W 0.500 0.000 0.500
4 W 0.500 0.500 0.000
5 I 0.500 0.500 0.500

Output
distance to the lowest polymorph of the same formula = 515 meV per atom
V = 113.9 Å³ per cell
size of the total moment = 0.00 μB per formula unit
formation energy from raw total energies = 2739.5 meV per atom
DFT total energy = -6.09 eV/atom
density of states at the Fermi level = 3.54 states/eV/cell